# 1
Material: MgZn5Ag4
Method: DFT, PBE
State: optimized geometry

Cell lengths 3.208, 3.208, 15.994 Å; angles 90.00, 90.00, 90.00 degrees
Space group P4/mmm (No. 123)
Asymmetric unit:
Mg 0.000 0.000 0.000
Zn 0.500 0.500 0.109
Zn 0.500 0.500 0.304
Zn 0.500 0.500 0.500
Ag 0.000 0.000 0.204
Ag 0.000 0.000 0.401

Properties
Crystal system ... tetragonal
ΔH_f (0 K) ... -45.7 meV/atom
Density of states at the Fermi level ... 1.54 states/eV/cell

=====

# 2
Material: Mg5Zn2Ag
Method: DFT, PBE
State: optimized geometry

Cell lengths 7.175, 7.175, 12.340 Å; angles 90.00, 90.00, 90.00 degrees
Space group I4/mcm (No. 140)
Asymmetric unit:
Mg 0.000 0.000 0.000
Mg 0.166 0.334 0.150
Zn 0.127 0.373 0.500
Ag 0.000 0.000 0.250

Properties
Crystal system ... tetragonal
ΔH_f (0 K) ... -96.5 meV/atom
Density of states at the Fermi level ... 8.99 states/eV/cell

=====

# 3
Material: MgZn2Ag
Method: DFT, PBE
State: optimized geometry

Cell lengths 9.278, 3.003, 4.978 Å; angles 90.00, 101.95, 90.00 degrees
Space group Cm (No. 8)
Asymmetric unit:
Mg 0.000 0.000 0.000
Zn 0.255 0.500 0.272
Zn 0.497 0.000 0.492
Ag 0.246 0.000 0.754

Properties
Crystal system ... monoclinic
ΔH_f (0 K) ... -50.5 meV/atom
Density of states at the Fermi level ... 3.45 states/eV/cell

=====

# 4
Material: Mg2ZnAg
Method: DFT, PBE
State: optimized geometry

Cell lengths 3.264, 3.481, 6.420 Å; angles 90.00, 90.49, 90.00 degrees
Space group P2/m (No. 10)
Asymmetric unit:
Mg 0.001 0.000 0.246
Zn 0.500 0.500 0.000
Ag 0.500 0.500 0.500

Properties
Crystal system ... monoclinic
ΔH_f (0 K) ... -165.5 meV/atom
Density of states at the Fermi level ... 1.08 states/eV/cell

=====

In the order shown, the computed mass density values come out to 7.90 3.77 6.44 5.05 g/cm3.